Here is a relaxed structure of CoSnN3 from the Alexandria database. Energies are from PBE.

The final energy comes out at -5.96 eV per atom. Its crystal system is cubic. The calculation puts the formation energy without anion corrections at 6.31 eV/f.u.

It has space group Pm-3m (No. 221), with a = 3.746 Å, b = 3.746 Å, c = 3.746 Å, α = 90.00°, β = 90.00° and γ = 90.00°. The distinct sites, in fractional coordinates, are Co at (0.000, 0.000, 0.000), Sn at (0.500, 0.500, 0.500) and N at (0.000, 0.000, 0.500).


Here is a relaxed structure of Co4Sn2N from the Alexandria database. Energies are from PBE.

The final energy comes out at -6.37 eV per atom. Its crystal system is tetragonal. The calculation puts the formation energy without anion corrections at 0.15 eV/f.u.

It has space group I4/mmm (No. 139), with a = 3.747 Å, b = 3.747 Å, c = 13.592 Å, α = 90.00°, β = 90.00° and γ = 90.00°. The distinct sites, in fractional coordinates, are Co at (0.000, 0.000, 0.133), Co at (0.000, 0.500, 0.000), Sn at (0.000, 0.000, 0.331) and N at (0.000, 0.000, 0.000).


Here is a relaxed structure of CoSn3N from the Alexandria database. Energies are from PBE.

The final energy comes out at -4.67 eV per atom. Its crystal system is cubic. The calculation puts the formation energy without anion corrections at 4.10 eV/f.u.

It has space group Pm-3m (No. 221), with a = 4.639 Å, b = 4.639 Å, c = 4.639 Å, α = 90.00°, β = 90.00° and γ = 90.00°. The distinct sites, in fractional coordinates, are Co at (0.000, 0.000, 0.000), Sn at (0.000, 0.500, 0.500) and N at (0.500, 0.500, 0.500).